A relaxed Nd4SiSnN crystal. Source: Alexandria via LeMat-Bulk, functional PBE.

Output
As for the symmetry: Cmcm, No. 63. For the raw total energy, the calculation gives -84.6 eV for the cell shown. As for the formation energy (no corrections): -529 kJ/mol of formula units.

a b c (Å): 6.857 6.866 8.778
angles (deg): 90.00 112.99 90.00
Atoms (fractional coordinates):
Nd 0.500 0.500 0.500
Nd 0.921 0.250 0.843
Nd 0.412 0.750 0.824
Nd 0.000 0.000 0.500
Nd 0.500 0.000 0.500
Nd 0.079 0.750 0.157
Nd 0.588 0.250 0.176
Nd 0.000 0.500 0.500
Si 0.115 0.250 0.231
Si 0.885 0.750 0.769
N 0.247 0.750 0.494
N 0.753 0.250 0.506
Sn 0.393 0.250 0.785
Sn 0.607 0.750 0.215